The following is a DFT calculation (GGA-PBE) of crystalline AlTe2P at its relaxed geometry.

a b c (Å): 4.453 3.827 6.832
angles (deg): 90.00 106.54 90.00
Atoms (fractional coordinates):
Al 0.000 0.000 0.000
Te 0.196 0.000 0.665
Te 0.420 0.500 0.226
P 0.626 0.500 0.918

As for the total energy: -15.47 eV/cell. Its space-group type is Pm, No. 6. As for the excess energy over the best structure of this formula in the dataset: 121 meV/atom. The calculated volume comes out at 112 Å³ per cell. The formation energy without anion corrections is -0.0090 eV per atom.